# 1
First-principles (PBE-GGA) data for a relaxed structure of Tb3Sc3Cd, as listed in Alexandria.

Output
- N(E_F) (states/eV per atom) = 1.72
- calculated formation energy (eV/atom) = -0.037
- uncorrected energy (eV per cell) = -68.12

Cell: 9.0812 9.0812 5.2935 Å, 90.00 90.00 120.00°
Space group P6_3/m (No. 176)
Asymmetric unit:
Tb (0.1030, 0.6359, 0.2500) x6
Sc (0.0555, 0.8272, 0.7500) x6
Cd (0.3333, 0.6667, 0.7500) x2

***

# 2
First-principles (PBE-GGA) data for a relaxed structure of Tb6Sc2Cd, as listed in Alexandria.

Output
- N(E_F) (states/eV per atom) = 1.61
- calculated formation energy (eV/atom) = 0.000
- uncorrected energy (eV per cell) = -82.73

Cell: 10.293 10.293 4.928 Å, 90.00 90.00 90.00°
Space group P4_2/mnm (No. 136)
Asymmetric unit:
Tb (0.005, 0.330, 0.000) x8
Tb (0.154, 0.846, 0.500) x4
Sc (0.174, 0.174, 0.500) x4
Cd (0.000, 0.000, 0.000) x2

***

# 3
First-principles (PBE-GGA) data for a relaxed structure of TbSc3Cd4, as listed in Alexandria.

Output
- N(E_F) (states/eV per atom) = 0.97
- calculated formation energy (eV/atom) = -0.290
- uncorrected energy (eV per cell) = -29.61

Cell: 5.046 5.046 7.303 Å, 90.00 90.00 90.00°
Space group P4/mmm (No. 123)
Asymmetric unit:
Tb (0.000, 0.000, 0.000) x1
Sc (0.000, 0.000, 0.500) x1
Sc (0.500, 0.500, 0.000) x1
Sc (0.500, 0.500, 0.500) x1
Cd (0.000, 0.500, 0.263) x4

***

# 4
First-principles (PBE-GGA) data for a relaxed structure of Tb3ScCd4, as listed in Alexandria.

Output
- N(E_F) (states/eV per atom) = 1.14
- calculated formation energy (eV/atom) = -0.306
- uncorrected energy (eV per cell) = -26.33

Cell: 3.685 3.685 14.980 Å, 90.00 90.00 90.00°
Space group P4/mmm (No. 123)
Asymmetric unit:
Tb (0.000, 0.000, 0.000) x1
Tb (0.000, 0.000, 0.257) x2
Sc (0.000, 0.000, 0.500) x1
Cd (0.500, 0.500, 0.128) x2
Cd (0.500, 0.500, 0.390) x2

***

# 5
First-principles (PBE-GGA) data for a relaxed structure of TbSc4Cd5, as listed in Alexandria.

Output
- N(E_F) (states/eV per atom) = 1.00
- calculated formation energy (eV/atom) = -0.294
- uncorrected energy (eV per cell) = -37.47

Cell: 3.570 3.570 18.033 Å, 90.00 90.00 90.00°
Space group P4/mmm (No. 123)
Asymmetric unit:
Tb (0.000, 0.000, 0.000) x1
Sc (0.000, 0.000, 0.209) x2
Sc (0.000, 0.000, 0.403) x2
Cd (0.500, 0.500, 0.114) x2
Cd (0.500, 0.500, 0.306) x2
Cd (0.500, 0.500, 0.500) x1

***

# 6
First-principles (PBE-GGA) data for a relaxed structure of Tb7Sc2Cd2, as listed in Alexandria.

Output
- N(E_F) (states/eV per atom) = 1.23
- calculated formation energy (eV/atom) = -0.042
- uncorrected energy (eV per cell) = -94.73

Cell: 8.532 9.475 8.396 Å, 90.00 110.24 90.00°
Space group C2/m (No. 12)
Asymmetric unit:
Tb (0.000, 0.000, 0.000) x2
Tb (0.138, 0.000, 0.419) x4
Tb (0.199, 0.321, 0.180) x8
Sc (0.000, 0.323, 0.500) x4
Cd (0.116, 0.500, 0.817) x4

***

# 7
First-principles (PBE-GGA) data for a relaxed structure of Tb2ScCd, as listed in Alexandria.

Output
- N(E_F) (states/eV per atom) = 1.55
- calculated formation energy (eV/atom) = -0.125
- uncorrected energy (eV per cell) = -17.01

Cell: 3.552 3.552 8.735 Å, 90.00 90.00 90.00°
Space group P4/mmm (No. 123)
Asymmetric unit:
Tb (0.000, 0.000, 0.243) x2
Sc (0.500, 0.500, 0.500) x1
Cd (0.500, 0.500, 0.000) x1

***

# 8
First-principles (PBE-GGA) data for a relaxed structure of Tb2ScCd, as listed in Alexandria.

Output
- N(E_F) (states/eV per atom) = 1.28
- calculated formation energy (eV/atom) = -0.051
- uncorrected energy (eV per cell) = -66.84

Cell: 7.565 7.565 7.565 Å, 90.00 90.00 90.00°
Space group Fm-3m (No. 225)
Asymmetric unit:
Tb (0.250, 0.250, 0.250) x8
Sc (0.000, 0.000, 0.000) x4
Cd (0.000, 0.000, 0.500) x4

***

# 9
First-principles (PBE-GGA) data for a relaxed structure of Tb3ScCd6, as listed in Alexandria.

Output
- N(E_F) (states/eV per atom) = 0.78
- calculated formation energy (eV/atom) = -0.279
- uncorrected energy (eV per cell) = -57.00

Cell: 9.104 5.098 10.928 Å, 90.00 105.19 90.00°
Space group P2_1/m (No. 11)
Asymmetric unit:
Tb (0.031, 0.250, 0.394) x2
Tb (0.152, 0.750, 0.217) x2
Tb (0.261, 0.250, 0.004) x2
Sc (0.448, 0.250, 0.599) x2
Cd (0.049, 0.750, 0.909) x2
Cd (0.171, 0.250, 0.704) x2
Cd (0.274, 0.750, 0.515) x2
Cd (0.353, 0.750, 0.816) x2
Cd (0.367, 0.250, 0.312) x2
Cd (0.453, 0.750, 0.116) x2

***

# 10
First-principles (PBE-GGA) data for a relaxed structure of Tb2ScCd2, as listed in Alexandria.

Output
- N(E_F) (states/eV per atom) = 0.87
- calculated formation energy (eV/atom) = -0.223
- uncorrected energy (eV per cell) = -37.07

Cell: 3.632 5.197 13.785 Å, 90.00 97.56 90.00°
Space group P2_1/m (No. 11)
Asymmetric unit:
Tb (0.044, 0.250, 0.087) x2
Tb (0.235, 0.250, 0.471) x2
Sc (0.152, 0.750, 0.304) x2
Cd (0.360, 0.750, 0.720) x2
Cd (0.440, 0.250, 0.880) x2